A plane-wave DFT calculation with GGA-PBE was carried out for an optimized crystal structure of B7C5.

a b c (Å): 4.3245 4.3245 8.0627
angles (deg): 112.00 112.00 34.77
Positions (direct):
B 0.0000 0.0000 0.0000
B 0.0950 0.0950 0.7961
B 0.3406 0.3406 0.8659
B 0.5168 0.5168 0.4986
B 0.6480 0.6480 0.3107
B 0.8018 0.8018 0.1170
B 0.8930 0.8930 0.3461
C 0.0317 0.0317 0.2131
C 0.2126 0.2126 0.0067
C 0.3064 0.3064 0.6409
C 0.5074 0.5074 0.6919
C 0.7219 0.7219 0.5382

## Properties
The density of states at the Fermi level is 1.6 states/eV/cell.

=====

A plane-wave DFT calculation with GGA-PBE was carried out for an optimized crystal structure of BC.

a b c (Å): 2.6435 2.6435 13.4124
angles (deg): 90.00 90.00 120.00
Positions (direct):
B 0.0000 0.0000 0.0000
B 0.0000 0.0000 0.1357
B 0.0000 0.0000 0.6515
B 0.3333 0.6667 0.2054
B 0.6667 0.3333 0.4826
B 0.6667 0.3333 0.8556
C 0.0000 0.0000 0.5355
C 0.3333 0.6667 0.3241
C 0.3333 0.6667 0.7061
C 0.3333 0.6667 0.8126
C 0.6667 0.3333 0.3622
C 0.6667 0.3333 0.9886

## Properties
The density of states at the Fermi level is 2.6 states/eV/cell.

=====

A plane-wave DFT calculation with GGA-PBE was carried out for an optimized crystal structure of BC.

a b c (Å): 4.6084 4.6114 4.6175
angles (deg): 60.11 80.95 71.01
Positions (direct):
B 0.0000 0.0000 0.0000
B 0.0015 0.2648 0.3383
B 0.3803 0.8402 0.9537
B 0.4289 0.8245 0.3214
B 0.7696 0.7213 0.0798
B 0.9938 0.6344 0.6885
C 0.3574 0.5009 0.6494
C 0.3613 0.1950 0.3059
C 0.4704 0.4646 0.9711
C 0.4757 0.1588 0.6216
C 0.8244 0.3703 0.9819
C 0.8341 0.0188 0.6542

=====

A plane-wave DFT calculation with GGA-PBE was carried out for an optimized crystal structure of B7C5.

a b c (Å): 6.4703 6.4703 5.2887
angles (deg): 103.44 103.44 23.14
Positions (direct):
B 0.0000 0.0000 0.0000
B 0.0113 0.0113 0.5144
B 0.3078 0.3078 0.7103
B 0.3282 0.3282 0.1231
B 0.4138 0.4138 0.4278
B 0.6441 0.6441 0.7838
B 0.7431 0.7431 0.1766
C 0.0834 0.0834 0.8047
C 0.0843 0.0843 0.2916
C 0.4135 0.4135 0.9426
C 0.6553 0.6553 0.3399
C 0.7381 0.7381 0.6184

## Properties
The density of states at the Fermi level is 1.5 states/eV/cell.

=====

A plane-wave DFT calculation with GGA-PBE was carried out for an optimized crystal structure of BC.

a b c (Å): 6.6151 6.6151 4.9314
angles (deg): 103.27 103.27 22.97
Positions (direct):
B 0.0000 0.0000 0.0000
B 0.1629 0.1629 0.9434
B 0.2230 0.2230 0.5155
B 0.3849 0.3849 0.3501
B 0.5129 0.5129 0.5961
B 0.5417 0.5417 0.2582
C 0.0558 0.0558 0.7402
C 0.3440 0.3440 0.6969
C 0.6717 0.6717 0.3744
C 0.7177 0.7177 0.1013
C 0.8363 0.8363 0.1560
C 0.8735 0.8735 0.8756

## Properties
The density of states at the Fermi level is 1.6 states/eV/cell.

=====

A plane-wave DFT calculation with GGA-PBE was carried out for an optimized crystal structure of B7C5.

a b c (Å): 6.1623 6.1623 5.5097
angles (deg): 100.98 100.98 24.93
Positions (direct):
B 0.0000 0.0000 0.0000
B 0.0035 0.0035 0.5024
B 0.3789 0.3789 0.9493
B 0.3857 0.3857 0.4567
B 0.6263 0.6263 0.7383
B 0.6341 0.6341 0.3500
B 0.7642 0.7642 0.2276
C 0.0664 0.0664 0.2741
C 0.0692 0.0692 0.7853
C 0.3092 0.3092 0.6661
C 0.3162 0.3162 0.1766
C 0.7373 0.7373 0.6090

## Properties
The density of states at the Fermi level is 2.3 states/eV/cell.

=====

A plane-wave DFT calculation with GGA-PBE was carried out for an optimized crystal structure of BC.

a b c (Å): 4.8000 2.6188 6.5648
angles (deg): 90.00 98.24 90.00
Positions (direct):
B 0.0000 0.0000 0.0000
B 0.0404 0.0000 0.3014
B 0.2185 0.5000 0.0121
B 0.2644 0.5000 0.6725
B 0.6695 0.0000 0.0217
B 0.7781 0.0000 0.7299
C 0.3968 0.0000 0.3947
C 0.4357 0.0000 0.6417
C 0.5287 0.5000 0.0830
C 0.5472 0.5000 0.3225
C 0.8711 0.5000 0.4007
C 0.9304 0.5000 0.6293

## Properties
The density of states at the Fermi level is 1.3 states/eV/cell.

=====

A plane-wave DFT calculation with GGA-PBE was carried out for an optimized crystal structure of BC.

a b c (Å): 6.0524 6.0524 5.4757
angles (deg): 106.73 106.73 24.73
Positions (direct):
B 0.0000 0.0000 0.0000
B 0.0100 0.0100 0.3976
B 0.3247 0.3247 0.5950
B 0.5568 0.5568 0.8680
B 0.6848 0.6848 0.2992
B 0.9417 0.9417 0.6685
C 0.2461 0.2461 0.8087
C 0.2544 0.2544 0.2852
C 0.3272 0.3272 0.0921
C 0.5971 0.5971 0.4640
C 0.6665 0.6665 0.7482
C 0.9028 0.9028 0.1382

## Properties
The density of states at the Fermi level is 1.4 states/eV/cell.

=====

Computed values of magnetic moment (unit: μB/f.u.) for the preceding records, in sequence: 0.000; 0.000; 0.000; 0.000; 0.000; 0.000; 0.000; 0.000.
Computed values of excess energy over the best structure of this formula in the dataset (unit: kcal/mol of atoms) for the preceding records, in sequence: 4.786; 6.901; 5.353; 6.700; 5.116; 3.404; 6.249; 6.124.
Computed values of energy relative to the elements (unit: eV/atom) for the preceding records, in sequence: 0.37; 0.45; 0.38; 0.45; 0.37; 0.31; 0.42; 0.42.